Entry 1:
Material: Hf2AlGa
Method: DFT, PBE
State: optimized geometry

a b c (Å): 7.4825 7.4825 6.0294
angles (deg): 51.65 51.65 90.00
Positions (direct):
1 Ga 0.7500 0.2500 0.5000
2 Ga 0.0000 0.0000 0.0000
3 Hf 0.6326 0.1250 0.2500
4 Hf 0.8750 0.8826 0.7500
5 Hf 0.3750 0.3674 0.7500
6 Hf 0.1174 0.6250 0.2500
7 Al 0.5000 0.5000 0.0000
8 Al 0.2500 0.7500 0.5000

DFT formation energy ... 0.05 eV/f.u.
VASP energy ... -6.6557 eV per atom
Energy above the lowest structure with this stoichiometry ... 461.6 meV per atom

Entry 2:
Material: HfAlGa
Method: DFT, PBE
State: optimized geometry

a b c (Å): 4.0704 14.1310 3.7859
angles (deg): 90.00 90.00 90.00
Positions (direct):
1 Al 0.0000 0.2545 0.7500
2 Al 0.5000 0.7545 0.7500
3 Al 0.5000 0.2455 0.2500
4 Al 0.0000 0.7455 0.2500
5 Ga 0.0000 0.5709 0.7500
6 Ga 0.5000 0.0709 0.7500
7 Ga 0.5000 0.9291 0.2500
8 Ga 0.0000 0.4291 0.2500
9 Hf 0.5000 0.5885 0.2500
10 Hf 0.0000 0.9115 0.7500
11 Hf 0.0000 0.0885 0.2500
12 Hf 0.5000 0.4115 0.7500

DFT formation energy ... -1.09 eV/f.u.
VASP energy ... -5.9391 eV per atom

Entry 3:
Material: HfAlGa
Method: DFT, PBE
State: optimized geometry

a b c (Å): 3.8854 3.8854 7.0285
angles (deg): 90.00 90.00 90.00
Positions (direct):
1 Al 0.0000 0.0000 0.0000
2 Al 0.5000 0.5000 0.0000
3 Ga 0.0000 0.5000 0.7267
4 Ga 0.5000 0.0000 0.2733
5 Hf 0.0000 0.5000 0.3391
6 Hf 0.5000 0.0000 0.6609

DFT formation energy ... -1.17 eV/f.u.
VASP energy ... -5.9651 eV per atom

Entry 4:
Material: Hf2AlGa
Method: DFT, PBE
State: optimized geometry

a b c (Å): 4.7414 4.7414 4.7414
angles (deg): 60.00 60.00 60.00
Positions (direct):
1 Ga 0.5000 0.5000 0.5000
2 Hf 0.2500 0.2500 0.2500
3 Hf 0.7500 0.7500 0.7500
4 Al 0.0000 0.0000 0.0000

DFT formation energy ... -0.86 eV/f.u.
VASP energy ... -6.8836 eV per atom
Energy above the lowest structure with this stoichiometry ... 233.7 meV per atom

Entry 5:
Material: Hf3Al2Ga3
Method: DFT, PBE
State: optimized geometry

a b c (Å): 3.9761 5.5746 13.8051
angles (deg): 90.00 90.00 110.89
Positions (direct):
1 Hf 0.9400 0.8800 0.3846
2 Hf 0.0600 0.1200 0.8846
3 Hf 0.3566 0.7133 0.7500
4 Hf 0.0600 0.1200 0.6154
5 Hf 0.9400 0.8800 0.1154
6 Hf 0.6434 0.2867 0.2500
7 Al 0.7771 0.5541 0.8918
8 Al 0.2229 0.4459 0.1082
9 Al 0.7771 0.5541 0.6082
10 Al 0.2229 0.4459 0.3918
11 Ga 0.3896 0.7792 0.5382
12 Ga 0.3896 0.7792 0.9618
13 Ga 0.6104 0.2208 0.4618
14 Ga 0.6104 0.2208 0.0382
15 Ga 0.3736 0.7472 0.2500
16 Ga 0.6264 0.2528 0.7500

DFT formation energy ... -3.61 eV/f.u.
VASP energy ... -6.2550 eV per atom

Entry 6:
Material: HfAlGa
Method: DFT, PBE
State: optimized geometry

a b c (Å): 5.8330 3.9936 9.6271
angles (deg): 90.00 108.35 90.00
Positions (direct):
1 Hf 0.5785 0.5000 0.8115
2 Hf 0.2323 0.0000 0.6045
3 Hf 0.5785 0.0000 0.3115
4 Hf 0.2323 0.5000 0.1045
5 Al 0.0655 0.5000 0.7823
6 Al 0.9021 0.5000 0.4620
7 Al 0.0655 0.0000 0.2823
8 Al 0.9021 0.0000 0.9620
9 Ga 0.7485 0.5000 0.1390
10 Ga 0.7485 0.0000 0.6390
11 Ga 0.3956 0.5000 0.4521
12 Ga 0.3956 0.0000 0.9521

DFT formation energy ... -1.16 eV/f.u.
VASP energy ... -5.9620 eV per atom

Entry 7:
Material: HfAl5Ga
Method: DFT, PBE
State: optimized geometry

a b c (Å): 7.8212 5.3812 5.7653
angles (deg): 117.82 132.71 90.00
Positions (direct):
1 Al 0.4125 0.2380 0.0000
2 Al 0.1329 0.5000 0.0000
3 Al 0.2242 0.1873 0.3747
4 Al 0.8495 0.8127 0.6253
5 Al 0.4125 0.7620 0.0000
6 Hf 0.7836 0.5000 0.0000
7 Ga 0.7156 0.0000 0.0000

DFT formation energy ... 1.45 eV/f.u.
VASP energy ... -4.3207 eV per atom

Entry 8:
Material: HfAlGa3
Method: DFT, PBE
State: optimized geometry

a b c (Å): 5.2410 5.2410 5.2410
angles (deg): 90.00 90.00 90.00
Positions (direct):
1 Al 0.5000 0.5000 0.5000
2 Ga 0.0000 0.0000 0.5000
3 Ga 0.5000 0.0000 0.0000
4 Ga 0.0000 0.5000 0.0000
5 Hf 0.0000 0.0000 0.0000

DFT formation energy ... 3.59 eV/f.u.
VASP energy ... -3.8382 eV per atom
Energy above the lowest structure with this stoichiometry ... 793.9 meV per atom

Entry 9:
Material: Hf6AlGa
Method: DFT, PBE
State: optimized geometry

a b c (Å): 6.1462 6.1462 6.1711
angles (deg): 104.65 104.65 119.80
Positions (direct):
1 Al 0.0000 0.0000 0.0000
2 Hf 0.0389 0.4714 0.2506
3 Hf 0.9611 0.5286 0.7494
4 Hf 0.7468 0.7468 0.2528
5 Hf 0.4714 0.0389 0.2506
6 Hf 0.5286 0.9611 0.7494
7 Hf 0.2532 0.2532 0.7472
8 Ga 0.5000 0.5000 0.5000

DFT formation energy ... 1.61 eV/f.u.
VASP energy ... -8.1101 eV per atom

Entry 10:
Material: Hf6Al3Ga
Method: DFT, PBE
State: optimized geometry

a b c (Å): 5.5667 7.8389 9.4883
angles (deg): 90.00 89.81 90.00
Positions (direct):
1 Ga 0.5000 0.5000 0.5000
2 Ga 0.0000 0.0000 0.0000
3 Al 0.5000 0.5000 0.0000
4 Al 0.3594 0.1091 0.2519
5 Al 0.6406 0.8909 0.7481
6 Al 0.8594 0.3909 0.7519
7 Al 0.0000 0.0000 0.5000
8 Al 0.1406 0.6091 0.2481
9 Hf 0.9048 0.6732 0.9475
10 Hf 0.6740 0.4363 0.2511
11 Hf 0.4048 0.8268 0.4475
12 Hf 0.4017 0.8293 0.0519
13 Hf 0.8260 0.9363 0.2489
14 Hf 0.0983 0.3293 0.4481
15 Hf 0.0952 0.3268 0.0525
16 Hf 0.5952 0.1732 0.5525
17 Hf 0.5983 0.1707 0.9481
18 Hf 0.1740 0.0637 0.7511
19 Hf 0.3260 0.5637 0.7489
20 Hf 0.9017 0.6707 0.5519

DFT formation energy ... -0.97 eV/f.u.
VASP energy ... -7.4940 eV per atom

Entry 11:
Material: HfAl3Ga
Method: DFT, PBE
State: optimized geometry

a b c (Å): 6.2627 5.3653 5.3787
angles (deg): 90.00 103.30 90.00
Positions (direct):
1 Hf 0.6888 0.7500 0.1669
2 Hf 0.3112 0.2500 0.8331
3 Al 0.8735 0.5011 0.6853
4 Al 0.4862 0.7500 0.6121
5 Al 0.8735 0.9989 0.6853
6 Al 0.1265 0.4989 0.3147
7 Al 0.5138 0.2500 0.3879
8 Al 0.1265 0.0011 0.3147
9 Ga 0.7680 0.2500 0.0704
10 Ga 0.2320 0.7500 0.9296

DFT formation energy ... -0.84 eV/f.u.
VASP energy ... -5.0087 eV per atom
Energy above the lowest structure with this stoichiometry ... 0.0 meV per atom

Entry 12:
Material: Hf2Al4Ga
Method: DFT, PBE
State: optimized geometry

a b c (Å): 4.7840 4.7840 7.6361
angles (deg): 71.74 71.74 90.00
Positions (direct):
1 Hf 0.6142 0.6142 0.7715
2 Hf 0.3858 0.3858 0.2285
3 Al 0.1798 0.1798 0.6403
4 Al 0.8202 0.8202 0.3597
5 Al 0.0000 0.5000 0.0000
6 Al 0.5000 0.0000 0.0000
7 Ga 0.0000 0.0000 0.0000

DFT formation energy ... 3.49 eV/f.u.
VASP energy ... -4.9160 eV per atom